No. 1
The following is a PBE calculation of CoRhS2N after structural relaxation, from Alexandria via LeMat-Bulk.

```
5
Lattice="4.590 0.000 0.000 0.000 4.590 0.000 0.000 0.000 3.309" Properties=species:S:1:pos:R:3 pbc="T T T"
S 0.000 2.295 0.000
S 2.295 0.000 0.000
N 0.000 0.000 1.655
Co 0.000 0.000 0.000
Rh 2.295 2.295 1.655
```

Summary:
E_form (uncorrected) in meV/atom: 597
Energy in eV per atom: -5.61
DOS at the Fermi energy in states/eV/f.u.: 2.6
Offset from the most stable computed form in meV per atom: 0
Space-group type: P4/mmm, No. 123


No. 2
The following is a PBE calculation of CoRhS2N after structural relaxation, from Alexandria via LeMat-Bulk.

```
5
Lattice="4.854 0.000 0.000 0.000 4.854 0.000 0.000 0.000 3.600" Properties=species:S:1:pos:R:3 pbc="T T T"
Co 2.427 2.427 1.800
Rh 0.000 0.000 0.000
S 2.427 0.000 0.000
S 0.000 2.427 0.000
N 0.000 0.000 1.800
```

Summary:
E_form (uncorrected) in meV/atom: 869
Energy in eV per atom: -5.34
DOS at the Fermi energy in states/eV/f.u.: 2.1
Offset from the most stable computed form in meV per atom: 272
Space-group type: P4/mmm, No. 123


No. 3
The following is a PBE calculation of Co2SnRhN after structural relaxation, from Alexandria via LeMat-Bulk.

```
5
Lattice="3.818 0.000 0.000 0.000 3.818 0.000 0.000 0.000 4.307" Properties=species:S:1:pos:R:3 pbc="T T T"
N 0.000 0.000 0.000
Co 0.000 1.909 0.000
Co 1.909 0.000 0.000
Sn 1.909 1.909 2.154
Rh 0.000 0.000 2.154
```

Summary:
E_form (uncorrected) in meV/atom: 25
Energy in eV per atom: -6.75
DOS at the Fermi energy in states/eV/f.u.: 3.3
Space-group type: P4/mmm, No. 123


The highest energy belongs to which entry? number 2


Which formula does entry 3 have? Co2SnRhN


Among the records above, which one has the lowest E_form (uncorrected)? Co2SnRhN


energy of number 2 (CoRhS2N)? -5.34 eV per atom